[1]
The following is a GGA-PBE calculation of a relaxed structure of AcTmMgAu, from Alexandria via LeMat-Bulk.

Calculated values
* formation energy from the elements: -0.325 eV per atom
* electronic total energy: -0.2711 Ry per atom
* theoretical density: 9.12 g/cm3
* symmetry: F-43m, No. 216
* N(E_F): 0.509 states/eV/atom

abc: 5.417 5.417 5.417
angles: 60.00 60.00 60.00
Fractional positions:
Ac  0.750  0.750  0.750
Tm  0.250  0.250  0.250
Au  0.500  0.500  0.500
Mg  0.000  0.000  0.000

[2]
The following is a GGA-PBE calculation of a relaxed structure of TbPmEr2Sb4, from Alexandria via LeMat-Bulk.

Calculated values
* formation energy from raw total energies: -108.8 kJ per mole of atoms
* electronic total energy: -0.4044 Ry per atom
* theoretical density: 7.75 g/cm3
* symmetry: P2/m, No. 10
* N(E_F): 0.138 states/eV/atom

abc: 4.404 7.619 7.623
angles: 70.52 90.00 90.00
Fractional positions:
Tb  0.000  0.500  0.500
Pm  0.500  0.500  0.000
Er  0.000  0.000  0.000
Er  0.500  0.000  0.500
Sb  0.000  0.757  0.745
Sb  0.000  0.243  0.255
Sb  0.500  0.755  0.251
Sb  0.500  0.245  0.749